[1]
The following is a DFT calculation (GGA-PBE) of KRbCa2F after structural relaxation.

Its polymorph energy (0 for the lowest one) is 44.5 kJ/mol of atoms. As for the volume: 291 Å³/f.u. Its symmetry is No. 123.

The structure in POSCAR format:
```
KRbCa2F
1.0
7.7389 0.0000 0.0000
0.0000 4.8519 0.0000
0.0000 0.0000 7.7389
Ca F Rb K
2 1 1 1
Direct
0.5000 0.0000 0.0000
0.0000 0.0000 0.5000
0.0000 0.5000 0.0000
0.0000 0.0000 0.0000
0.5000 0.5000 0.5000
```



[2]
The following is a DFT calculation (GGA-PBE) of CsGa3 after structural relaxation.

As for the volume: 122 Å³/f.u. Its formation energy is 0.0540 eV/atom. Its symmetry is No. 25.

The structure in POSCAR format:
```
CsGa3
1.0
-1.3039 1.3210 3.3046
2.3687 -2.6645 1.9998
5.7991 5.2866 0.1749
Ga Cs
3 1
Direct
0.5000 0.5000 0.8566
0.5000 0.0000 0.6194
0.0000 0.0000 0.8794
0.0000 0.5000 0.3113
```



[3]
The following is a DFT calculation (GGA-PBE) of Ag2TeS4 after structural relaxation.

Its polymorph energy (0 for the lowest one) is 0.0 kJ/mol of atoms. As for the volume: 152 Å³/f.u. Its symmetry is No. 65.

The structure in POSCAR format:
```
Ag2TeS4
1.0
3.7689 0.0000 0.0000
0.0000 7.6024 0.0000
0.0000 0.0000 10.6125
S Ag Te
8 4 2
Direct
0.5000 0.2487 0.4999
0.5000 0.7487 0.0001
0.0000 0.9998 0.2509
0.0000 0.5002 0.7509
0.5000 0.2513 0.9999
0.0000 0.4998 0.2491
0.0000 0.0002 0.7491
0.5000 0.7513 0.5001
0.5000 0.2502 0.7499
0.5000 0.7498 0.2501
0.5000 0.7502 0.7501
0.5000 0.2498 0.2499
0.0000 0.5000 0.0000
0.0000 0.0000 0.5000
```



[4]
The following is a DFT calculation (GGA-PBE) of BaZr2Sb after structural relaxation.

As for the volume: 131 Å³/f.u. Its uncorrected energy is -5.96 eV/atom. Its symmetry is No. 38.

The structure in POSCAR format:
```
BaZr2Sb
1.0
4.4121 0.0000 0.0000
0.0000 4.0334 0.1182
0.0000 1.8025 7.4244
Sb Zr Ba
1 2 1
Direct
0.5000 0.9162 0.7928
0.0000 0.7853 0.0537
0.5000 0.2631 0.0983
0.0000 0.5354 0.5552
```



[5]
The following is a DFT calculation (GGA-PBE) of Li2ErCd2 after structural relaxation.

Its polymorph energy (0 for the lowest one) is 0.0 kJ/mol of atoms. As for the volume: 106 Å³/f.u. Its formation energy is -0.2288 eV/atom. Its symmetry is No. 12.

The structure in POSCAR format:
```
Li2ErCd2
1.0
3.3407 0.0000 -0.9138
-0.8821 6.0625 -3.2249
1.0369 -0.2372 10.3541
Cd Er Li
4 2 4
Direct
0.3812 0.8227 0.7625
0.6188 0.6773 0.2375
0.6188 0.1773 0.2375
0.3812 0.3227 0.7625
0.0000 0.7500 0.0000
0.0000 0.2500 0.0000
0.7964 0.9454 0.5928
0.2036 0.0546 0.4072
0.2036 0.5546 0.4072
0.7964 0.4454 0.5928
```



[6]
The following is a DFT calculation (GGA-PBE) of RbHfIn after structural relaxation.

Its polymorph energy (0 for the lowest one) is 19.0 kJ/mol of atoms. As for the volume: 92 Å³/f.u. Its formation energy is 0.2546 eV/atom. Its symmetry is No. 1.

The structure in POSCAR format:
```
RbHfIn
1.0
3.4445 -0.0001 0.0003
-1.7179 2.9854 -0.0017
-0.2475 -2.0792 17.9821
In Rb Hf
2 2 2
Direct
0.2035 0.5306 0.9396
0.0425 0.1486 0.3484
0.4661 0.0762 0.7670
0.4502 0.9369 0.5218
0.6491 0.3854 0.2079
0.9284 0.9616 0.0788
```



[7]
The following is a DFT calculation (GGA-PBE) of SrMn2Br after structural relaxation.

Its polymorph energy (0 for the lowest one) is 32.3 kJ/mol of atoms. As for the volume: 107 Å³/f.u. Its symmetry is No. 44.

The structure in POSCAR format:
```
SrMn2Br
1.0
6.0300 -0.0247 -0.0270
1.9304 5.7127 0.0270
-2.9988 -4.2174 3.0955
Mn Sr Br
2 1 1
Direct
0.0083 0.0083 0.0000
0.7953 0.2953 0.5000
0.4829 0.4829 0.0000
0.2136 0.7136 0.5000
```



[8]
The following is a DFT calculation (GGA-PBE) of Sc2CrAs after structural relaxation.

As for the volume: 73 Å³/f.u. Its formation energy is -0.3423 eV/atom. Its symmetry is No. 123.

The structure in POSCAR format:
```
Sc2CrAs
1.0
7.2984 0.0126 0.0296
-2.7138 3.5207 -0.0101
1.8727 1.4518 2.8572
Cr As Sc
1 1 2
Direct
0.5000 0.5000 0.0000
0.0000 0.5000 0.5000
0.5000 0.0000 0.5000
0.0000 0.0000 0.0000
```



[9]
The following is a DFT calculation (GGA-PBE) of Pm3Nd4Zn4 after structural relaxation.

As for the volume: 311 Å³/f.u. Its formation energy is -0.1065 eV/atom. Its symmetry is No. 71.

The structure in POSCAR format:
```
Pm3Nd4Zn4
1.0
5.1717 0.0000 0.0000
0.0000 7.3235 0.0000
-2.5858 -3.6617 8.2046
Zn Pm Nd
4 3 4
Direct
0.1841 0.6841 0.3682
0.8159 0.3159 0.6318
0.5000 0.8266 0.0000
0.5000 0.1734 0.0000
0.8978 0.8978 0.7956
0.1022 0.1022 0.2044
0.0000 0.5000 0.0000
0.3241 0.0992 0.6483
0.6759 0.9008 0.3517
0.6759 0.4509 0.3517
0.3241 0.5491 0.6483
```



[10]
The following is a DFT calculation (GGA-PBE) of SrNb3P after structural relaxation.

Its polymorph energy (0 for the lowest one) is 229.9 kJ/mol of atoms. As for the volume: 116 Å³/f.u. Its formation energy is 2.7022 eV/atom. Its symmetry is No. 221.

The structure in POSCAR format:
```
SrNb3P
1.0
4.8719 0.0000 0.0000
0.0000 4.8719 0.0000
0.0000 0.0000 4.8719
Nb P Sr
3 1 1
Direct
0.0000 0.5000 0.0000
0.5000 0.0000 0.0000
0.0000 0.0000 0.5000
0.5000 0.5000 0.5000
0.0000 0.0000 0.0000
```



[11]
The following is a DFT calculation (GGA-PBE) of HfCo2Ru after structural relaxation.

Its polymorph energy (0 for the lowest one) is 11.0 kJ/mol of atoms. As for the volume: 56 Å³/f.u. Its formation energy is -0.0916 eV/atom. Its symmetry is No. 225.

The structure in POSCAR format:
```
HfCo2Ru
1.0
0.0000 3.0446 3.0446
3.0446 0.0000 3.0446
3.0446 3.0446 0.0000
Ru Co Hf
1 2 1
Direct
0.0000 0.0000 0.0000
0.7500 0.7500 0.7500
0.2500 0.2500 0.2500
0.5000 0.5000 0.5000
```



[12]
The following is a DFT calculation (GGA-PBE) of NiSeN2 after structural relaxation.

As for the volume: 47 Å³/f.u. Its uncorrected energy is -5.45 eV/atom. Its symmetry is No. 166.

The structure in POSCAR format:
```
NiSeN2
1.0
1.6990 5.8159 0.5940
4.2400 4.2175 1.1400
3.3698 4.7651 -1.7327
Se N Ni
1 2 1
Direct
0.5000 0.5000 0.5000
0.1028 0.1028 0.1028
0.8972 0.8972 0.8972
0.0000 0.0000 0.0000
```



[13]
The following is a DFT calculation (GGA-PBE) of TlIr4Os after structural relaxation.

As for the volume: 101 Å³/f.u. Its formation energy is 0.8822 eV/atom. Its symmetry is No. 216.

The structure in POSCAR format:
```
TlIr4Os
1.0
0.0000 3.6908 3.6908
3.6908 0.0000 3.6908
3.6908 3.6908 0.0000
Ir Os Tl
4 1 1
Direct
0.1260 0.6247 0.6247
0.6247 0.6247 0.1260
0.6247 0.1260 0.6247
0.6247 0.6247 0.6247
0.2500 0.2500 0.2500
0.0000 0.0000 0.0000
```



[14]
The following is a DFT calculation (GGA-PBE) of BaReRh2 after structural relaxation.

Its polymorph energy (0 for the lowest one) is 12.9 kJ/mol of atoms. As for the volume: 77 Å³/f.u. Its formation energy is 0.3043 eV/atom. Its symmetry is No. 123.

The structure in POSCAR format:
```
BaReRh2
1.0
-2.0183 2.1464 -0.7080
-1.5749 -2.0164 -1.6236
-4.4897 -1.9759 6.8090
Re Rh Ba
1 2 1
Direct
0.5000 0.5000 0.5000
0.0000 0.0000 0.6906
0.0000 0.0000 0.3094
0.5000 0.5000 0.0000
```



[15]
The following is a DFT calculation (GGA-PBE) of LaTeIr2 after structural relaxation.

As for the volume: 90 Å³/f.u. Its uncorrected energy is -6.82 eV/atom. Its symmetry is No. 166.

The structure in POSCAR format:
```
LaTeIr2
1.0
4.5156 -0.0197 -0.0385
2.2718 3.9026 -0.0385
2.3019 1.3169 5.0839
Ir La Te
2 1 1
Direct
0.9560 0.9560 0.1321
0.5440 0.5440 0.3679
0.7500 0.7500 0.7500
0.2500 0.2500 0.2500
```



[16]
The following is a DFT calculation (GGA-PBE) of Sr2Ca2GaPd4 after structural relaxation.

As for the volume: 222 Å³/f.u. Its formation energy is -0.4691 eV/atom. Its symmetry is No. 139.

The structure in POSCAR format:
```
Sr2Ca2GaPd4
1.0
-5.7552 -3.2459 -1.0288
4.2326 -2.8057 4.3509
-0.4622 5.9267 3.0624
Pd Ca Sr Ga
4 2 2 1
Direct
0.0000 0.7502 0.2498
0.4995 0.2498 0.2498
0.5005 0.7502 0.7502
0.0000 0.2498 0.7502
0.0000 0.6806 0.6806
0.0000 0.3194 0.3194
0.5000 0.2500 0.7500
0.5000 0.7500 0.2500
0.0000 0.0000 0.0000
```



[17]
The following is a DFT calculation (GGA-PBE) of BeZn2Ga after structural relaxation.

As for the volume: 56 Å³/f.u. Its formation energy is 0.1974 eV/atom. Its symmetry is No. 123.

The structure in POSCAR format:
```
BeZn2Ga
1.0
3.8676 0.0000 0.0000
0.0000 3.7999 0.0000
0.0000 0.0000 3.7999
Zn Be Ga
2 1 1
Direct
0.0000 0.5000 0.0000
0.0000 0.0000 0.5000
0.5000 0.5000 0.5000
0.5000 0.0000 0.0000
```



[18]
The following is a DFT calculation (GGA-PBE) of KNa2CdO2 after structural relaxation.

As for the volume: 123 Å³/f.u. Its uncorrected energy is -3.39 eV/atom. Its symmetry is No. 58.

The structure in POSCAR format:
```
KNa2CdO2
1.0
-1.5156 -3.5682 0.0247
2.5813 -1.0611 5.1082
-8.7691 3.7606 5.2124
K Cd Na O
2 2 4 4
Direct
0.0000 0.0000 0.5000
0.5000 0.5000 0.0000
0.5000 0.5000 0.5000
0.0000 0.0000 0.0000
0.0000 0.4031 0.7333
0.5000 0.9031 0.7667
0.0000 0.5969 0.2667
0.5000 0.0969 0.2333
0.5000 0.2434 0.6430
0.0000 0.7434 0.8570
0.0000 0.2566 0.1430
0.5000 0.7566 0.3570
```



[19]
The following is a DFT calculation (GGA-PBE) of Tb2ZnPd3 after structural relaxation.

Its polymorph energy (0 for the lowest one) is 7.3 kJ/mol of atoms. As for the volume: 122 Å³/f.u. Its formation energy is -0.7434 eV/atom. Its symmetry is No. 69.

The structure in POSCAR format:
```
Tb2ZnPd3
1.0
5.7036 -0.6024 0.0000
-0.8234 5.6759 0.0000
-2.4401 -2.5368 7.6783
Tb Pd Zn
4 6 2
Direct
0.2500 0.7500 0.5000
0.7529 0.7529 0.0000
0.7500 0.2500 0.5000
0.2471 0.2471 0.0000
0.3469 0.8274 0.1743
0.8292 0.8292 0.6585
0.1708 0.1708 0.3415
0.1726 0.6531 0.8257
0.6531 0.1726 0.8257
0.8274 0.3469 0.1743
0.3331 0.3331 0.6662
0.6669 0.6669 0.3338
```



[20]
The following is a DFT calculation (GGA-PBE) of Zr2InCl after structural relaxation.

Its polymorph energy (0 for the lowest one) is 11.9 kJ/mol of atoms. As for the volume: 104 Å³/f.u. Its symmetry is No. 35.

The structure in POSCAR format:
```
Zr2InCl
1.0
-0.4039 -3.0733 0.5540
0.5100 -0.5985 -3.0491
10.2722 -1.0046 1.9152
Zr In Cl
2 1 1
Direct
0.0000 0.0000 0.0298
0.5000 0.5000 0.2540
0.5000 0.5000 0.8067
0.0000 0.0000 0.4095
```



[21]
The following is a DFT calculation (GGA-PBE) of BaCeNi4 after structural relaxation.

As for the volume: 102 Å³/f.u. Its formation energy is -0.0323 eV/atom. Its symmetry is No. 216.

The structure in POSCAR format:
```
BaCeNi4
1.0
-4.0746 -1.8375 -2.7293
0.5810 -4.2140 -3.0551
-2.2244 -4.5436 1.3551
Ni Ce Ba
4 1 1
Direct
0.6270 0.1191 0.6270
0.6270 0.6270 0.6270
0.1191 0.6270 0.6270
0.6270 0.6270 0.1191
0.0000 0.0000 0.0000
0.2500 0.2500 0.2500
```



[22]
The following is a DFT calculation (GGA-PBE) of CeHoGaPd after structural relaxation.

As for the volume: 92 Å³/f.u. Its formation energy is -0.5920 eV/atom. Its symmetry is No. 216.

The structure in POSCAR format:
```
CeHoGaPd
1.0
5.0705 0.0000 0.0000
2.5352 4.3912 0.0000
2.5352 1.4637 4.1400
Pd Ga Ho Ce
1 1 1 1
Direct
0.7500 0.7500 0.7500
0.2500 0.2500 0.2500
0.0000 0.0000 0.0000
0.5000 0.5000 0.5000
```



[23]
The following is a DFT calculation (GGA-PBE) of Nb2VHW after structural relaxation.

As for the volume: 68 Å³/f.u. Its uncorrected energy is -9.17 eV/atom. Its symmetry is No. 123.

The structure in POSCAR format:
```
Nb2VHW
1.0
4.4884 0.0000 0.0000
0.0000 4.4884 0.0000
0.0000 0.0000 3.3964
H W V Nb
1 1 1 2
Direct
0.0000 0.0000 0.0000
0.5000 0.5000 0.5000
0.0000 0.0000 0.5000
0.0000 0.5000 0.0000
0.5000 0.0000 0.0000
```



[24]
The following is a DFT calculation (GGA-PBE) of SrCd2Tc after structural relaxation.

Its polymorph energy (0 for the lowest one) is 17.5 kJ/mol of atoms. As for the volume: 88 Å³/f.u. Its formation energy is 0.5198 eV/atom. Its symmetry is No. 65.

The structure in POSCAR format:
```
SrCd2Tc
1.0
7.0450 0.0029 0.0092
-2.8435 4.6883 -0.0011
1.3581 0.8279 2.6644
Tc Cd Sr
1 2 1
Direct
0.5000 0.5000 0.0000
0.0000 0.0000 0.0000
0.5000 0.0000 0.5000
0.0000 0.5000 0.5000
```



[25]
The following is a DFT calculation (GGA-PBE) of KTaIr2 after structural relaxation.

Its polymorph energy (0 for the lowest one) is 74.3 kJ/mol of atoms. As for the volume: 85 Å³/f.u. Its formation energy is 0.7343 eV/atom. Its symmetry is No. 71.

The structure in POSCAR format:
```
KTaIr2
1.0
-4.6984 -3.3702 0.8594
-2.5766 -1.6065 -4.9952
4.6151 -0.1992 3.5823
Ir Ta K
2 1 1
Direct
0.0472 0.0472 0.0000
0.4528 0.4528 0.0000
0.2500 0.7500 0.5000
0.7500 0.2500 0.5000
```



[26]
The following is a DFT calculation (GGA-PBE) of Th4MgB3Rh12 after structural relaxation.

As for the volume: 330 Å³/f.u. Its formation energy is -0.7611 eV/atom. Its symmetry is No. 229.

The structure in POSCAR format:
```
Th4MgB3Rh12
1.0
-7.0743 1.2674 -2.2858
0.0181 -1.5443 7.3818
4.1971 6.1304 -1.2961
B Th Rh Mg
3 4 12 1
Direct
0.5000 0.0000 0.5000
0.5000 0.5000 0.0000
0.0000 0.5000 0.5000
0.0000 0.0000 0.5000
0.5000 0.5000 0.5000
0.5000 0.0000 0.0000
0.0000 0.5000 0.0000
0.0000 0.7275 0.7275
0.7500 0.2500 0.5000
0.2725 0.2725 0.0000
0.7275 0.7275 0.0000
0.5000 0.2500 0.7500
0.2725 0.0000 0.2725
0.2500 0.5000 0.7500
0.0000 0.2725 0.2725
0.2500 0.7500 0.5000
0.7275 0.0000 0.7275
0.7500 0.5000 0.2500
0.5000 0.7500 0.2500
0.0000 0.0000 0.0000
```